(1)
Material: Ca2YFe
Method: DFT, SCAN
State: single point on PBEsol structure

Cell lengths 5.2688, 5.2688, 5.2688 Å; angles 60.00, 60.00, 60.00 degrees
Each line ends with the local moment (μB).
Positions (direct):
Ca  0.7500  0.7500  0.7500  -0.03
Ca  0.0000  0.0000  0.0000  -0.06
Y  0.2500  0.2500  0.2500  -0.13
Fe  0.5000  0.5000  0.5000  3.31

**Fermi-level density of states**: 0.703 states/eV per atom
**Theoretical density**: 3.6 Mg/m³
**E above lowest polymorph**: 107 meV/atom
**Formation energy**: 0.47 eV per atom

(2)
Material: CaY2Fe
Method: DFT, SCAN
State: single point on PBEsol structure

Cell lengths 3.4917, 3.4917, 8.5827 Å; angles 90.00, 90.00, 90.00 degrees
Each line ends with the local moment (μB).
Positions (direct):
Y  0.5000  0.5000  0.2263  0.56
Y  0.0000  0.0000  0.9363  -0.09
Fe  0.5000  0.5000  0.7783  2.79
Ca  0.0000  0.0000  0.5591  -0.05

**Fermi-level density of states**: 0.794 states/eV per atom
**Theoretical density**: 4.3 Mg/m³
**E above lowest polymorph**: 0 meV/atom
**Formation energy**: 0.24 eV per atom

(3)
Material: Ca2YFe
Method: DFT, SCAN
State: single point on PBEsol structure

Cell lengths 3.4954, 3.4954, 10.7875 Å; angles 80.68, 80.68, 60.00 degrees
Each line ends with the local moment (μB).
Positions (direct):
Ca  0.7659  0.7659  0.7022  -0.07
Ca  0.2341  0.2341  0.2978  -0.07
Y  0.0000  0.0000  0.0000  0.34
Fe  0.5000  0.5000  0.5000  3.04

**Fermi-level density of states**: 0.787 states/eV per atom
**Theoretical density**: 3.3 Mg/m³
**E above lowest polymorph**: 171 meV/atom
**Formation energy**: 0.54 eV per atom